1:
# NbHN2F, optimized geometry, DFT PBE-GGA
# DOS(E_F) ... 0.4729 states/eV per atom
data_NbHN2F
_chemical_formula_sum 'Nb1 H1 N2 F1'
_cell_length_a 4.037
_cell_length_b 4.037
_cell_length_c 4.177
_cell_angle_alpha 90.00
_cell_angle_beta 90.00
_cell_angle_gamma 90.00
_space_group_name_H-M_alt 'P 1'
_space_group_IT_number 1
loop_
_space_group_symop_operation_xyz
'x,y,z'
loop_
_atom_site_label
_atom_site_type_symbol
_atom_site_fract_x
_atom_site_fract_y
_atom_site_fract_z
Nb1 Nb 0.000 0.000 0.000
H1 H 0.500 0.500 0.500
N1 N 0.000 0.500 0.000
N2 N 0.500 0.000 0.000
F1 F 0.000 0.000 0.500

---

2:
# NbHN2F, optimized geometry, DFT PBE-GGA
# DOS(E_F) ... 0.4642 states/eV per atom
data_NbHN2F
_chemical_formula_sum 'Nb1 H1 N2 F1'
_cell_length_a 3.469
_cell_length_b 3.469
_cell_length_c 3.209
_cell_angle_alpha 90.00
_cell_angle_beta 90.00
_cell_angle_gamma 90.00
_space_group_name_H-M_alt 'P 1'
_space_group_IT_number 1
loop_
_space_group_symop_operation_xyz
'x,y,z'
loop_
_atom_site_label
_atom_site_type_symbol
_atom_site_fract_x
_atom_site_fract_y
_atom_site_fract_z
Nb1 Nb 0.000 0.000 0.000
H1 H 0.500 0.500 0.500
N1 N 0.000 0.500 0.500
N2 N 0.500 0.000 0.500
F1 F 0.500 0.500 0.000

---

Question: which arrangement is favored energetically? Ranking from most to least stable: 1, 2.